[1]
Below is Y2AsPb2 after structural relaxation, with properties calculated at the GGA-PBEsol level.

Cell lengths 4.077, 4.077, 16.366 Å; angles 90.00, 90.00, 90.00 degrees
Space group I4/mmm (No. 139)
Inequivalent atoms, fractional coordinates:
Y 0.000 0.000 0.095 [4 per cell]
As 0.000 0.000 0.500 [2 per cell]
Pb 0.000 0.500 0.250 [4 per cell]

Properties
theoretical density = 8144 kg/m³
VASP energy = -5.745 eV/atom

[2]
Below is Zn2As2Pb after structural relaxation, with properties calculated at the GGA-PBEsol level.

Cell lengths 3.897, 3.897, 13.562 Å; angles 90.00, 90.00, 90.00 degrees
Space group I4/mmm (No. 139)
Inequivalent atoms, fractional coordinates:
Zn 0.000 0.500 0.250 [4 per cell]
As 0.000 0.000 0.128 [4 per cell]
Pb 0.000 0.000 0.500 [2 per cell]

Properties
theoretical density = 7866 kg/m³
distance to the lowest polymorph of the same formula = 0 meV per atom
VASP energy = -3.504 eV/atom

[3]
Below is ZnAsPb after structural relaxation, with properties calculated at the GGA-PBEsol level.

Cell lengths 3.491, 3.491, 10.735 Å; angles 90.00, 90.00, 90.00 degrees
Space group I4mm (No. 107)
Inequivalent atoms, fractional coordinates:
Zn 0.000 0.000 0.000 [2 per cell]
As 0.000 0.000 0.582 [2 per cell]
Pb 0.000 0.000 0.294 [2 per cell]

Properties
theoretical density = 8823 kg/m³
distance to the lowest polymorph of the same formula = 146 meV per atom
VASP energy = -3.410 eV/atom